Entry 1:
B4C PBE-GGA optimized geometry; energy relative to the elements = 0.493 eV per atom; total moment = 0.000 μB per atom; total energy = -6.6938 eV/atom; crystal system = orthorhombic; energy above the lowest structure with this stoichiometry = 0.595 eV/atom
1.0
-1.139 6.307 2.424
1.139 -6.307 2.424
1.139 6.307 -2.424
B C
8 2
Direct
0.057 0.893 0.164
0.165 0.114 0.051
0.229 0.893 0.336
0.437 0.886 0.551
0.563 0.114 0.449
0.771 0.107 0.664
0.835 0.886 0.949
0.943 0.107 0.836
0.410 0.160 0.250
0.590 0.840 0.750



Entry 2:
DyCuAu PBE-GGA optimized geometry; energy relative to the elements = -0.537 eV per atom; total moment = 0.000 μB per atom; total energy = -4.5293 eV/atom; crystal system = tetragonal; energy above the lowest structure with this stoichiometry = 0.025 eV/atom
1.0
3.642 0.000 0.000
0.000 3.642 0.000
0.000 0.000 8.891
Dy Cu Au
2 2 2
Direct
0.000 0.000 0.000
0.500 0.500 0.500
0.000 0.000 0.670
0.500 0.500 0.170
0.000 0.000 0.331
0.500 0.500 0.831



Entry 3:
DyMgSc2 PBE-GGA optimized geometry; energy relative to the elements = 0.048 eV per atom; total moment = 0.003 μB per atom; total energy = -4.6668 eV/atom; crystal system = tetragonal; energy above the lowest structure with this stoichiometry = 0.051 eV/atom
1.0
4.662 0.000 0.000
0.000 4.662 0.000
0.000 0.000 4.748
Dy Mg Sc
1 1 2
Direct
0.000 0.000 0.000
0.500 0.500 0.000
0.000 0.500 0.500
0.500 0.000 0.500



Entry 4:
Cd2TcTe PBE-GGA optimized geometry; total moment = 0.000 μB per atom; total energy = -3.4537 eV/atom; raw formation energy = 0.38 eV/atom; crystal system = orthorhombic
1.0
3.209 0.000 0.000
0.000 5.270 0.000
0.000 0.000 10.855
Cd Tc Te
4 2 2
Direct
0.000 0.000 0.000
0.000 0.500 0.254
0.500 0.000 0.254
0.500 0.500 0.000
0.000 0.500 0.784
0.500 0.000 0.784
0.000 0.000 0.593
0.500 0.500 0.593



Entry 5:
Pm2NdDy9 PBE-GGA optimized geometry; energy relative to the elements = 0.020 eV per atom; total moment = 0.000 μB per atom; total energy = -4.6209 eV/atom; crystal system = tetragonal; energy above the lowest structure with this stoichiometry = 0.000 eV/atom
1.0
5.049 0.000 0.000
0.000 5.049 0.000
0.000 0.000 15.146
Pm Nd Dy
2 1 9
Direct
0.000 0.000 0.166
0.000 0.000 0.834
0.000 0.000 0.500
0.000 0.500 0.000
0.000 0.500 0.333
0.000 0.500 0.667
0.500 0.000 0.000
0.500 0.000 0.333
0.500 0.000 0.667
0.500 0.500 0.166
0.500 0.500 0.500
0.500 0.500 0.834



Entry 6:
SrU2O8 PBE-GGA optimized geometry; total moment = 0.000 μB per atom; total energy = -8.5305 eV/atom; raw formation energy = -2.72 eV/atom; crystal system = orthorhombic
1.0
3.315 -5.434 0.000
3.315 5.434 0.000
0.000 0.000 4.084
Sr U O
1 2 8
Direct
0.000 0.000 0.000
0.311 0.689 0.500
0.689 0.311 0.500
0.062 0.337 0.500
0.265 0.735 0.000
0.337 0.062 0.500
0.500 0.500 0.173
0.500 0.500 0.827
0.663 0.938 0.500
0.735 0.265 0.000
0.938 0.663 0.500



Entry 7:
Na6Cd5 PBE-GGA optimized geometry; energy relative to the elements = -0.071 eV per atom; total moment = 0.000 μB per atom; total energy = -1.2062 eV/atom; crystal system = monoclinic
1.0
4.606 -2.593 0.000
4.606 2.593 0.000
-3.851 0.000 12.041
Na Cd
6 5
Direct
0.046 0.046 0.130
0.212 0.212 0.668
0.419 0.419 0.234
0.581 0.581 0.766
0.788 0.788 0.332
0.954 0.954 0.870
0.146 0.146 0.409
0.322 0.322 0.969
0.500 0.500 0.500
0.678 0.678 0.031
0.854 0.854 0.591



Entry 8:
Mg2AsOs PBE-GGA optimized geometry; energy relative to the elements = 0.095 eV per atom; total moment = 0.000 μB per atom; total energy = -4.6724 eV/atom; crystal system = tetragonal
1.0
2.909 0.000 0.000
0.000 2.909 0.000
0.000 0.000 8.166
Mg As Os
2 1 1
Direct
0.000 0.000 0.229
0.000 0.000 0.771
0.500 0.500 0.500
0.500 0.500 0.000



Entry 9:
Pr2MgCd6 PBE-GGA optimized geometry; energy relative to the elements = -0.256 eV per atom; total moment = 0.000 μB per atom; total energy = -2.1054 eV/atom; crystal system = monoclinic
1.0
5.510 -3.178 0.000
5.510 3.178 0.000
-0.007 0.000 6.509
Pr Mg Cd
2 1 6
Direct
0.167 0.167 0.141
0.833 0.833 0.859
0.500 0.500 0.000
0.147 0.677 0.330
0.323 0.323 0.670
0.323 0.853 0.670
0.677 0.147 0.330
0.677 0.677 0.330
0.853 0.323 0.670



Entry 10:
SrMnCu2 PBE-GGA optimized geometry; energy relative to the elements = 0.276 eV per atom; total moment = 1.072 μB per atom; total energy = -4.4851 eV/atom; crystal system = monoclinic
1.0
3.534 0.000 0.000
0.000 3.944 0.000
-1.759 0.000 6.074
Sr Mn Cu
1 1 2
Direct
0.000 0.000 0.000
0.284 0.500 0.573
0.632 0.500 0.267
0.747 0.000 0.503



Entry 11:
Nb2ReBrN PBE-GGA optimized geometry; total moment = 0.000 μB per atom; total energy = -8.1731 eV/atom; raw formation energy = 0.34 eV/atom; crystal system = tetragonal; energy above the lowest structure with this stoichiometry = 0.000 eV/atom
1.0
4.407 0.000 0.000
0.000 4.407 0.000
0.000 0.000 4.029
Nb Re Br N
2 1 1 1
Direct
0.000 0.500 0.000
0.500 0.000 0.000
0.000 0.000 0.500
0.500 0.500 0.500
0.000 0.000 0.000



Entry 12:
FeTc2Ru PBE-GGA optimized geometry; energy relative to the elements = 0.089 eV per atom; total moment = 0.279 μB per atom; total energy = -9.5290 eV/atom; crystal system = orthorhombic; energy above the lowest structure with this stoichiometry = 0.084 eV/atom
1.0
5.377 0.000 0.000
0.000 5.389 0.000
0.000 0.000 7.519
Fe Tc Ru
4 8 4
Direct
0.000 0.000 0.000
0.000 0.500 0.500
0.500 0.000 0.500
0.500 0.500 0.000
0.000 0.000 0.500
0.000 0.500 0.000
0.250 0.250 0.250
0.250 0.750 0.750
0.500 0.000 0.000
0.500 0.500 0.500
0.750 0.250 0.750
0.750 0.750 0.250
0.250 0.250 0.750
0.250 0.750 0.250
0.750 0.250 0.250
0.750 0.750 0.750